Sm12PdRh6, relaxed, DFT PBE; formation energy = -0.534 eV/atom; total DFT energy (no corrections) = -6.109 eV per atom; total magnetic moment = 0.00 μB per atom
1.0
8.326 -0.122 -0.147
-1.383 8.211 -0.147
-1.383 -1.612 8.053
Rh Sm Pd
6 12 1
Cartesian
5.717 1.928 5.384
1.530 0.075 4.900
-0.158 4.549 2.375
4.520 2.241 0.950
1.039 4.236 6.809
4.029 6.402 2.859
1.305 -0.894 7.551
3.134 2.092 6.483
-1.744 4.037 7.290
2.425 4.384 1.276
3.966 0.709 3.240
6.641 -0.746 5.274
7.304 2.440 0.470
4.254 7.371 0.208
0.099 2.469 4.542
5.460 4.008 3.217
-1.082 7.223 2.485
1.593 5.768 4.519
0.000 0.000 0.000